CsCuGe | GGA-PBE | optimized geometry

Summary:
As for the distance to the lowest polymorph of the same formula: 0 meV per atom. The energy of formation from the pure elements comes out at -6 meV/atom. Its total magnetization is 0.000 μB/atom. The total energy is -3.195 eV per atom.

Lattice parameters (Å, degrees): 4.4025 4.4025 11.4124 90.00 90.00 90.00
Fractional coordinates of all 6 atoms:
Cs 0.0000 0.5000 0.7777
Cs 0.5000 0.0000 0.2223
Ge 0.0000 0.5000 0.4081
Ge 0.5000 0.0000 0.5919
Cu 0.0000 0.0000 0.5000
Cu 0.5000 0.5000 0.5000